# 1
The following is a PBE calculation of a geometry-optimized SrIn2P structure, from the Alexandria database.

The space-group type is No. 65. As for the size of the total moment: 0.00 μB/cell. The calculation puts the final energy at -14.01 eV for the cell shown. The calculation puts the formation energy at -34.9 kJ per mole of atoms.

Cell lengths 5.001, 5.001, 4.793 Å; angles 90.00, 90.00, 106.32 degrees
Positions (direct):
In  0.311  0.689  0.000
In  0.689  0.311  0.000
Sr  0.000  0.000  0.500
P  0.500  0.500  0.500


# 2
The following is a PBE calculation of a geometry-optimized SrInP2 structure, from the Alexandria database.

The space-group type is No. 65. As for the size of the total moment: 0.00 μB/cell. The calculation puts the final energy at -16.15 eV for the cell shown. The calculation puts the formation energy at -21.9 kJ per mole of atoms.

Cell lengths 3.909, 3.909, 6.210 Å; angles 90.00, 90.00, 90.08 degrees
Positions (direct):
P  0.000  0.000  0.565
In  0.500  0.500  0.750
P  0.000  0.000  0.935
Sr  0.500  0.500  0.250


# 3
The following is a PBE calculation of a geometry-optimized Sr2InP structure, from the Alexandria database.

The calculation puts the relative energy among the computed polymorphs at 0.0 kJ per mole of atoms. The space-group type is No. 38. As for the size of the total moment: 0.00 μB/cell. The calculation puts the final energy at -14.12 eV for the cell shown. The calculation puts the formation energy at -62.9 kJ per mole of atoms.

Cell lengths 6.360, 6.360, 4.302 Å; angles 90.00, 90.00, 135.17 degrees
Positions (direct):
P  0.327  0.673  0.500
In  0.175  0.825  0.000
Sr  0.600  0.400  0.500
Sr  0.882  0.118  0.000


# 4
The following is a PBE calculation of a geometry-optimized SrInP2 structure, from the Alexandria database.

The space-group type is No. 99. As for the size of the total moment: 0.00 μB/cell. The calculation puts the final energy at -15.55 eV for the cell shown. The calculation puts the formation energy at -7.6 kJ per mole of atoms.

Cell lengths 3.633, 3.633, 7.033 Å; angles 90.00, 90.00, 90.00 degrees
Positions (direct):
Sr  0.000  0.000  0.466
In  0.500  0.500  0.801
P  0.000  0.000  0.060
P  0.500  0.500  0.173


# 5
The following is a PBE calculation of a geometry-optimized SrIn2P structure, from the Alexandria database.

The space-group type is No. 38. As for the size of the total moment: 0.00 μB/cell. The calculation puts the final energy at -14.36 eV for the cell shown. The calculation puts the formation energy at -43.3 kJ per mole of atoms.

Cell lengths 6.349, 6.349, 3.943 Å; angles 90.00, 90.00, 136.42 degrees
Positions (direct):
In  0.086  0.914  0.000
In  0.679  0.321  0.500
Sr  0.391  0.609  0.500
P  0.852  0.148  0.000


# 6
The following is a PBE calculation of a geometry-optimized SrInP structure, from the Alexandria database.

The space-group type is No. 156. As for the size of the total moment: 0.00 μB/cell. The calculation puts the final energy at -11.81 eV for the cell shown. The calculation puts the formation energy at -63.6 kJ per mole of atoms.

Cell lengths 4.212, 4.212, 5.655 Å; angles 90.00, 90.00, 120.00 degrees
Positions (direct):
P  0.333  0.667  0.305
Sr  0.667  0.333  0.616
In  0.000  0.000  0.078


# 7
The following is a PBE calculation of a geometry-optimized SrInP2 structure, from the Alexandria database.

The space-group type is No. 119. As for the size of the total moment: 0.00 μB/cell. The calculation puts the final energy at -15.80 eV for the cell shown. The calculation puts the formation energy at -13.4 kJ per mole of atoms.

Cell lengths 6.090, 6.090, 6.090 Å; angles 140.06, 140.06, 57.76 degrees
Positions (direct):
Sr  0.500  0.500  0.000
In  0.750  0.250  0.500
P  0.250  0.750  0.500
P  0.000  0.000  0.000


# 8
The following is a PBE calculation of a geometry-optimized Sr2InP structure, from the Alexandria database.

The calculation puts the relative energy among the computed polymorphs at 21.0 kJ per mole of atoms. The space-group type is No. 225. As for the size of the total moment: 0.00 μB/cell. The calculation puts the final energy at -13.25 eV for the cell shown. The calculation puts the formation energy at -41.9 kJ per mole of atoms.

Cell lengths 5.531, 5.531, 5.531 Å; angles 60.00, 60.00, 60.00 degrees
Positions (direct):
Sr  0.250  0.250  0.250
In  0.500  0.500  0.500
Sr  0.750  0.750  0.750
P  0.000  0.000  0.000


# 9
The following is a PBE calculation of a geometry-optimized Sr2TiInP structure, from the Alexandria database.

The space-group type is No. 123. As for the size of the total moment: 3.95 μB/cell. The calculation puts the final energy at -15.88 eV for the cell shown. The calculation puts the formation energy at 68.1 kJ per mole of atoms.

Cell lengths 5.845, 5.250, 5.845 Å; angles 90.00, 90.00, 90.00 degrees
Positions (direct):
In  0.000  0.500  0.000
Ti  0.000  0.000  0.000
Sr  0.500  0.000  0.000
P  0.500  0.500  0.500
Sr  0.000  0.000  0.500


# 10
The following is a PBE calculation of a geometry-optimized SrTlInP2 structure, from the Alexandria database.

The space-group type is No. 123. As for the size of the total moment: 0.00 μB/cell. The calculation puts the final energy at -16.49 eV for the cell shown. The calculation puts the formation energy at 21.5 kJ per mole of atoms.

Cell lengths 5.257, 5.450, 5.257 Å; angles 90.00, 90.00, 90.00 degrees
Positions (direct):
P  0.000  0.000  0.500
In  0.000  0.000  0.000
Sr  0.500  0.500  0.500
P  0.500  0.000  0.000
Tl  0.000  0.500  0.000


# 11
The following is a PBE calculation of a geometry-optimized Sr4U3InP8 structure, from the Alexandria database.

The space-group type is No. 166. As for the size of the total moment: 4.90 μB/cell. The calculation puts the final energy at -100.52 eV for the cell shown. The calculation puts the formation energy at -83.9 kJ per mole of atoms.

Cell lengths 8.227, 8.400, 8.228 Å; angles 119.32, 120.00, 90.00 degrees
Positions (direct):
In  0.000  0.500  0.000
Sr  0.500  0.000  0.500
P  0.243  0.714  0.485
U  0.500  0.500  0.000
P  0.757  0.286  0.515
U  0.500  0.500  0.500
P  0.757  0.286  0.029
P  0.737  0.712  0.475
P  0.729  0.714  0.971
Sr  0.000  0.000  0.500
P  0.263  0.288  0.525
U  0.000  0.500  0.500
P  0.271  0.286  0.029
Sr  0.500  0.000  0.000
Sr  0.000  0.000  0.000
P  0.243  0.714  0.971


# 12
The following is a PBE calculation of a geometry-optimized SrZnIn2P structure, from the Alexandria database.

The space-group type is No. 123. As for the size of the total moment: 0.00 μB/cell. The calculation puts the final energy at -13.49 eV for the cell shown. The calculation puts the formation energy at 6.7 kJ per mole of atoms.

Cell lengths 5.420, 4.834, 5.420 Å; angles 90.00, 90.00, 90.00 degrees
Positions (direct):
P  0.000  0.000  0.000
In  0.000  0.000  0.500
In  0.500  0.000  0.000
Zn  0.000  0.500  0.000
Sr  0.500  0.500  0.500